The following is a DFT calculation (GGA-PBEsol) of a relaxed Zr8Cu crystal.

```
Zr8Cu
1.0
-2.642 0.558 -3.214
-4.733 -5.182 0.250
-5.256 4.060 2.284
Zr Cu
8 1
Direct
0.000 0.331 0.669
0.663 0.674 0.000
0.331 0.669 0.669
0.337 0.326 0.000
0.000 0.669 0.331
0.663 0.000 0.674
0.337 0.000 0.326
0.669 0.331 0.331
0.000 0.000 0.000
```

Results
magnetic moment: 0.0 Bohr magnetons per cell
space-group type: I4/mmm (139)
energy of formation from the pure elements: 0.05 eV/atom
final energy: -76.6 eV per formula unit